MnPtBr2 (PBE-GGA, optimized geometry); ΔE_f (raw) = 0.38 eV/atom; DFT total energy = -17.043 eV/f.u.; M_tot = 4.2 μB per cell
1.0
3.569 -0.013 0.000
-2.030 2.936 0.000
0.000 0.000 8.340
Br Mn Pt
2 1 1
Direct
0.000 0.000 0.017
0.000 0.000 0.483
0.500 0.500 0.250
0.500 0.500 0.750

MnPtBr2 (PBE-GGA, optimized geometry); ΔE_f (raw) = 0.31 eV/atom; DFT total energy = -17.312 eV/f.u.; M_tot = 4.3 μB per cell
1.0
-0.105 -1.045 5.441
3.144 -4.561 0.158
-0.112 5.468 -0.896
Br Mn Pt
2 1 1
Direct
0.015 0.015 0.000
0.485 0.485 0.000
0.250 0.750 0.500
0.750 0.250 0.500

MnPtBr2 (PBE-GGA, optimized geometry); ΔE_f (raw) = 0.27 eV/atom; DFT total energy = -17.475 eV/f.u.; M_tot = 4.6 μB per cell
1.0
3.405 0.000 0.000
0.000 6.097 0.000
0.000 0.000 4.129
Br Mn Pt
2 1 1
Direct
0.000 0.000 0.000
0.500 0.500 0.000
0.500 0.000 0.500
0.000 0.500 0.500

MnPtBr2 (PBE-GGA, optimized geometry); ΔE_f (raw) = -0.15 eV/atom; DFT total energy = -19.136 eV/f.u.; M_tot = 5.0 μB per cell
1.0
-2.680 -0.895 3.141
0.521 -3.450 2.382
4.160 3.879 4.490
Br Mn Pt
2 1 1
Direct
0.071 0.071 0.102
0.769 0.769 0.643
0.491 0.491 0.315
0.169 0.169 0.441

MnPt4Br (PBE-GGA, optimized geometry); ΔE_f (raw) = 0.30 eV/atom; DFT total energy = -33.195 eV/f.u.; M_tot = 4.3 μB per cell
1.0
0.000 3.788 3.788
3.788 0.000 3.788
3.788 3.788 0.000
Mn Pt Br
1 4 1
Direct
0.000 0.000 0.000
0.877 0.374 0.374
0.374 0.374 0.877
0.374 0.877 0.374
0.374 0.374 0.374
0.750 0.750 0.750

MnPt3Br (PBE-GGA, optimized geometry); ΔE_f (raw) = 1.14 eV/atom; DFT total energy = -23.266 eV/f.u.; M_tot = 4.4 μB per cell
1.0
-4.391 -1.696 0.608
0.574 -2.834 -3.763
1.707 -3.408 2.827
Mn Br Pt
1 1 3
Direct
0.500 0.500 0.500
0.000 0.000 0.000
0.000 0.500 0.000
0.000 0.000 0.500
0.500 0.000 0.000

MnPtBr2 (PBE-GGA, optimized geometry); ΔE_f (raw) = 0.54 eV/atom; DFT total energy = -16.407 eV/f.u.; M_tot = 4.9 μB per cell
1.0
-0.842 -4.095 2.478
0.375 -4.306 -2.222
3.680 -2.983 1.087
Br Mn Pt
2 1 1
Direct
0.000 0.000 0.000
0.250 0.250 0.250
0.500 0.500 0.500
0.750 0.750 0.750

MnPtBr2 (PBE-GGA, optimized geometry); ΔE_f (raw) = 0.28 eV/atom; DFT total energy = -17.434 eV/f.u.; M_tot = 4.7 μB per cell
1.0
-3.791 2.730 4.544
-6.377 1.346 0.066
4.584 -4.455 -1.270
Br Mn Pt
2 1 1
Direct
0.000 0.000 0.000
0.250 0.750 0.500
0.500 0.500 0.000
0.750 0.250 0.500

MnPtBr2 (PBE-GGA, optimized geometry); ΔE_f (raw) = 0.74 eV/atom; DFT total energy = -15.608 eV/f.u.; M_tot = 0.0 μB per cell
1.0
5.880 0.000 0.000
0.000 5.880 0.000
2.940 2.940 5.207
Mn Br Pt
2 4 2
Direct
0.500 0.500 0.000
0.250 0.750 0.500
0.588 0.125 0.250
0.162 0.625 0.250
0.375 0.412 0.750
0.875 0.838 0.750
0.000 0.000 0.000
0.750 0.250 0.500

MnPtBr2 (PBE-GGA, optimized geometry); ΔE_f (raw) = -0.04 eV/atom; DFT total energy = -18.707 eV/f.u.; M_tot = 4.0 μB per cell
1.0
-0.599 0.365 3.501
-2.945 0.101 -2.015
-0.787 -8.332 0.734
Br Mn Pt
2 1 1
Direct
0.000 0.000 0.919
0.500 0.500 0.335
0.000 0.000 0.532
0.500 0.500 0.715

MnPtBr2 (PBE-GGA, optimized geometry); ΔE_f (raw) = 0.28 eV/atom; DFT total energy = -17.437 eV/f.u.; M_tot = 4.8 μB per cell
1.0
-3.825 0.996 0.980
-1.442 -4.475 -1.079
0.773 -1.470 4.508
Br Mn Pt
2 1 1
Direct
0.000 0.996 0.996
0.000 0.504 0.504
0.500 0.250 0.250
0.500 0.750 0.750

MnPtBr2 (PBE-GGA, optimized geometry); ΔE_f (raw) = 0.89 eV/atom; DFT total energy = -14.991 eV/f.u.; M_tot = 0.0 μB per cell
1.0
9.516 -3.597 5.753
10.294 -4.550 3.149
10.858 -1.833 3.916
Mn Br Pt
1 2 1
Direct
0.000 0.000 0.000
0.935 0.935 0.935
0.065 0.065 0.065
0.500 0.500 0.500

MnPtBr2 (PBE-GGA, optimized geometry); ΔE_f (raw) = 0.50 eV/atom; DFT total energy = -16.574 eV/f.u.; M_tot = 0.0 μB per cell
1.0
1.975 0.000 7.799
-0.987 1.710 7.799
-0.987 -1.710 7.799
Mn Br Pt
1 2 1
Direct
0.500 0.500 0.500
0.895 0.895 0.895
0.105 0.105 0.105
0.000 0.000 0.000

MnPtBr2 (PBE-GGA, optimized geometry); ΔE_f (raw) = -0.26 eV/atom; DFT total energy = -19.614 eV/f.u.; M_tot = 3.0 μB per cell
1.0
-3.583 2.342 7.699
-0.384 1.028 8.740
-0.644 4.439 7.581
Br Mn Pt
2 1 1
Direct
0.033 0.033 0.033
0.215 0.215 0.215
0.487 0.487 0.487
0.765 0.765 0.765

MnPtBr2 (PBE-GGA, optimized geometry); ΔE_f (raw) = -0.24 eV/atom; DFT total energy = -19.506 eV/f.u.; M_tot = 5.0 μB per cell
1.0
-0.397 5.942 -4.544
1.301 3.487 -6.500
-3.713 -1.213 -1.700
Br Mn Pt
2 1 1
Direct
0.111 0.111 0.957
0.389 0.389 0.543
0.750 0.750 0.750
0.250 0.250 0.250

MnPtBr2 (PBE-GGA, optimized geometry); ΔE_f (raw) = 0.32 eV/atom; DFT total energy = -17.261 eV/f.u.; M_tot = 4.1 μB per cell
1.0
-7.121 -4.145 1.563
-5.302 -6.496 -0.138
-4.819 -6.060 3.224
Br Mn Pt
2 1 1
Direct
0.987 0.987 0.987
0.513 0.513 0.513
0.250 0.250 0.250
0.750 0.750 0.750

MnPtBr2 (PBE-GGA, optimized geometry); ΔE_f (raw) = -0.17 eV/atom; DFT total energy = -19.233 eV/f.u.; M_tot = 5.0 μB per cell
1.0
3.738 0.000 0.000
0.000 3.754 0.026
0.000 0.339 7.380
Br Mn Pt
2 1 1
Direct
0.000 0.760 0.907
0.500 0.255 0.348
0.000 0.492 0.578
0.500 0.992 0.666

MnPtBr2 (PBE-GGA, optimized geometry); ΔE_f (raw) = 0.43 eV/atom; DFT total energy = -16.839 eV/f.u.; M_tot = 5.0 μB per cell
1.0
0.000 3.423 3.423
3.423 0.000 3.423
3.423 3.423 0.000
Mn Br Pt
1 2 1
Direct
0.000 0.000 0.000
0.250 0.250 0.250
0.750 0.750 0.750
0.500 0.500 0.500

MnPt3Br (PBE-GGA, optimized geometry); ΔE_f (raw) = 1.10 eV/atom; DFT total energy = -23.443 eV/f.u.; M_tot = 0.0 μB per cell
1.0
4.632 0.000 0.000
0.000 4.632 0.000
0.000 0.000 4.632
Mn Br Pt
1 1 3
Direct
0.000 0.000 0.000
0.500 0.500 0.500
0.000 0.500 0.000
0.000 0.000 0.500
0.500 0.000 0.000

MnPtBr2 (PBE-GGA, optimized geometry); ΔE_f (raw) = -0.02 eV/atom; DFT total energy = -18.623 eV/f.u.; M_tot = 4.8 μB per cell
1.0
-2.682 5.612 -4.377
-5.691 1.226 -4.894
2.846 -2.310 6.663
Br Mn Pt
2 1 1
Direct
0.990 0.990 0.000
0.226 0.726 0.500
0.573 0.573 0.000
0.711 0.211 0.500